# 1
PmAlI | PBE | relaxed

Calculated values
The energy above the most stable polymorph in this dataset is 0.000 eV/atom. Its space group is No. 12.

Structure (POSCAR):
```
PmAlI
1.0
7.5343 0.0000 0.0000
0.0000 4.3500 0.0000
-0.2799 0.0000 12.5462
Pm Al I
4 4 4
Direct
0.0062 0.0000 0.1689
0.4938 0.5000 0.8311
0.5062 0.5000 0.1689
0.9938 0.0000 0.8311
0.1661 0.5000 0.9857
0.3339 0.0000 0.0143
0.6661 0.0000 0.9857
0.8339 0.5000 0.0143
0.1790 0.5000 0.3293
0.3210 0.0000 0.6707
0.6790 0.0000 0.3293
0.8210 0.5000 0.6707
```



# 2
Pm8AlSi3I4 | PBE | relaxed

Calculated values
Its space group is No. 166.

Structure (POSCAR):
```
Pm8AlSi3I4
1.0
4.3341 2.5023 7.6103
-4.3341 2.5023 7.6103
0.0000 -5.0046 7.6103
Pm Al Si I
8 1 3 4
Direct
0.2285 0.7371 0.7371
0.2321 0.2321 0.2321
0.2629 0.2629 0.7715
0.2629 0.7715 0.2629
0.7371 0.2285 0.7371
0.7371 0.7371 0.2285
0.7679 0.7679 0.7679
0.7715 0.2629 0.2629
0.5000 0.5000 0.5000
0.0000 0.0000 0.5000
0.0000 0.5000 0.0000
0.5000 0.0000 0.0000
0.0000 0.0000 0.0000
0.0000 0.5000 0.5000
0.5000 0.0000 0.5000
0.5000 0.5000 0.0000
```



Across the entries above, E takes the values -4.29 -4.85 eV/atom, respectively.
Across the entries above, energy relative to the elements, uncorrected takes the values -941 -841 meV per atom, respectively.